(1)
# K3RbRh

A PBEsol-optimized structure of K3RbRh (SCAN, Alexandria).

The structure in POSCAR format:
```
K3RbRh
1.0
6.1883 0.0000 0.0000
0.0000 6.1883 0.0000
0.0000 0.0000 6.1883
Rb K Rh
1 3 1
direct
0.5000 0.5000 0.5000
0.5000 0.0000 0.0000
0.0000 0.5000 0.0000
0.0000 0.0000 0.5000
0.0000 0.0000 0.0000
```

Summary:
- space-group type = Pm-3m
- offset from the most stable computed form (meV/atom) = 0
- calculated formation energy (eV per atom) = 0.4889
- E_tot (eV/cell) = -77.1
- size of the total moment (μB per formula unit) = 0.2

***

(2)
# Sr3CdPd

A PBEsol-optimized structure of Sr3CdPd (SCAN, Alexandria).

The structure in POSCAR format:
```
Sr3CdPd
1.0
-5.7474 -0.4595 0.4710
0.5812 -1.6032 5.5279
-0.3086 5.5394 1.6389
Sr Pd Cd
3 1 1
direct
0.5000 0.0000 0.0000
0.0000 0.5000 0.0000
0.0000 0.0000 0.5000
0.0000 0.0000 0.0000
0.5000 0.5000 0.5000
```

Summary:
- space-group type = Pm-3m
- calculated formation energy (eV per atom) = -0.3172
- E_tot (eV/cell) = -131.6
- size of the total moment (μB per formula unit) = 0.0

***

(3)
# Nb3GaO

A PBEsol-optimized structure of Nb3GaO (SCAN, Alexandria).

The structure in POSCAR format:
```
Nb3GaO
1.0
4.2072 0.0000 0.0000
0.0000 4.2072 0.0000
0.0000 0.0000 4.2072
Ga Nb O
1 3 1
direct
0.5000 0.5000 0.5000
0.5000 0.0000 0.0000
0.0000 0.0000 0.5000
0.0000 0.5000 0.0000
0.0000 0.0000 0.0000
```

Summary:
- space-group type = Pm-3m
- E_tot (eV/cell) = -126.0
- size of the total moment (μB per formula unit) = 0.0

***

(4)
# Rb2UO4

A PBEsol-optimized structure of Rb2UO4 (SCAN, Alexandria).

The structure in POSCAR format:
```
Rb2UO4
1.0
4.3290 0.0000 0.0000
0.0000 4.3290 0.0000
-2.1645 -2.1645 6.9512
O Rb U
4 2 1
direct
0.1397 0.1397 0.2793
0.8603 0.8603 0.7207
0.0000 0.5000 0.0000
0.5000 0.0000 0.0000
0.6536 0.6536 0.3072
0.3464 0.3464 0.6928
0.0000 0.0000 0.0000
```

Summary:
- space-group type = I4/mmm
- E_tot (eV/cell) = -189.9
- size of the total moment (μB per formula unit) = 0.0

***

(5)
# Li4Ni3SbO8

A PBEsol-optimized structure of Li4Ni3SbO8 (SCAN, Alexandria).

The structure in POSCAR format:
```
Li4Ni3SbO8
1.0
-5.2359 -0.9177 2.5689
-0.6603 -4.4179 3.8602
-0.7304 1.1505 5.7065
Li Ni O Sb
4 3 8 1
direct
0.0000 0.0000 0.5000
0.5000 0.5000 0.5000
0.5000 0.0000 0.5000
0.0000 0.5000 0.5000
0.0000 0.5000 0.0000
0.5000 0.5000 0.0000
0.5000 0.0000 0.0000
0.2407 0.2407 0.7628
0.7559 0.2407 0.7628
0.2653 0.2653 0.2040
0.2407 0.7559 0.7628
0.7347 0.7347 0.7960
0.7593 0.7593 0.2372
0.7593 0.2441 0.2372
0.2441 0.7593 0.2372
0.0000 0.0000 0.0000
```

Summary:
- space-group type = R-3m
- E_tot (eV/cell) = -173.3
- size of the total moment (μB per formula unit) = 5.0

***

(6)
# LiYRe3

A PBEsol-optimized structure of LiYRe3 (SCAN, Alexandria).

The structure in POSCAR format:
```
LiYRe3
1.0
4.7710 0.0000 0.0000
0.0000 4.7710 0.0000
0.0000 0.0000 4.7710
Re Y Li
3 1 1
direct
0.5000 0.0000 0.0000
0.0000 0.5000 0.0000
0.0000 0.0000 0.5000
0.0000 0.0000 0.0000
0.5000 0.5000 0.5000
```

Summary:
- space-group type = Pm-3m
- calculated formation energy (eV per atom) = 3.0960
- E_tot (eV/cell) = -228.0
- size of the total moment (μB per formula unit) = 2.8

***

(7)
# Tb5SbPt2

A PBEsol-optimized structure of Tb5SbPt2 (SCAN, Alexandria).

The structure in POSCAR format:
```
Tb5SbPt2
1.0
7.7200 0.0000 0.0000
-3.8600 7.6984 -0.0630
0.0000 -3.8159 6.7109
Pt Tb Sb
4 10 2
direct
0.8637 0.0000 0.6363
0.6363 0.0000 0.1363
0.1363 0.0000 0.3637
0.3637 0.0000 0.8637
0.7029 0.7220 0.2029
0.5000 0.0000 0.5000
0.0192 0.7220 0.5192
0.0000 0.0000 0.0000
0.9808 0.2780 0.4808
0.2029 0.7220 0.0192
0.7971 0.2780 0.9808
0.5192 0.7220 0.7029
0.2971 0.2780 0.7971
0.4808 0.2780 0.2971
0.7500 0.5000 0.7500
0.2500 0.5000 0.2500
```

Summary:
- space-group type = I4/mcm
- E_tot (eV/cell) = -841.6
- size of the total moment (μB per formula unit) = 0.0

***

(8)
# HfTiTc3

A PBEsol-optimized structure of HfTiTc3 (SCAN, Alexandria).

The structure in POSCAR format:
```
HfTiTc3
1.0
4.4465 0.0000 0.0000
0.0000 4.4465 0.0000
0.0000 0.0000 4.4465
Tc Ti Hf
3 1 1
direct
0.5000 0.0000 0.0000
0.0000 0.0000 0.5000
0.0000 0.5000 0.0000
0.0000 0.0000 0.0000
0.5000 0.5000 0.5000
```

Summary:
- space-group type = Pm-3m
- calculated formation energy (eV per atom) = 0.8511
- E_tot (eV/cell) = -179.6
- size of the total moment (μB per formula unit) = 0.0